# Bi3Pd PBE optimized geometry
# Offset from the most stable computed form   0.000 eV per atom
# Calculated total energy   -0.1594 hartree per atom
# Theoretical density   11.31 g cm⁻³
data_Bi3Pd
_chemical_formula_sum 'Bi6 Pd2'
_space_group_name_H-M_alt 'P 1'
_space_group_IT_number 1
_cell_length_a 6.195
_cell_length_b 6.195
_cell_length_c 8.893
_cell_angle_alpha 90.00
_cell_angle_beta 90.00
_cell_angle_gamma 140.89
loop_
_space_group_symop_operation_xyz
'x,y,z'
loop_
_atom_site_label
_atom_site_type_symbol
_atom_site_fract_x
_atom_site_fract_y
_atom_site_fract_z
Bi1 Bi 0.072 0.928 0.750
Bi2 Bi 0.360 0.640 0.552
Bi3 Bi 0.360 0.640 0.948
Bi4 Bi 0.640 0.360 0.052
Bi5 Bi 0.640 0.360 0.448
Bi6 Bi 0.928 0.072 0.250
Pd1 Pd 0.245 0.755 0.250
Pd2 Pd 0.755 0.245 0.750